Entry 1:
Density functional theory data (PBE) for a relaxed Pr15Tm4Sc crystal.

Cell: 5.1615 5.1615 25.7041 Å, 90.00 90.00 90.00°
Last column: nearest neighbours and their distance in Å.
Fractional positions:
Pr 0.5000 0.5000 0.3995  4 Tm 3.65, 8 Pr 3.65
Pr 0.5000 0.5000 0.8016  4 Tm 3.65, 8 Pr 3.65
Pr 0.5000 0.0000 0.7011  8 Pr 3.65, 4 Tm 3.65
Sc 0.0000 0.0000 0.0000  12 Pr 3.60-3.65
Tm 0.0000 0.0000 0.1984  12 Pr 3.65
Pr 0.5000 0.5000 0.0000  8 Pr 3.60, 4 Sc 3.65
Pr 0.5000 0.0000 0.9023  2 Sc 3.60, 8 Pr 3.60-3.65, 2 Tm 3.65
Pr 0.0000 0.5000 0.9023  2 Sc 3.60, 8 Pr 3.60-3.65, 2 Tm 3.65
Tm 0.0000 0.0000 0.8016  12 Pr 3.65
Pr 0.5000 0.5000 0.1984  4 Tm 3.65, 8 Pr 3.65
Pr 0.5000 0.5000 0.6005  4 Tm 3.65, 8 Pr 3.65
Pr 0.0000 0.5000 0.5000  8 Pr 3.65, 4 Tm 3.65
Pr 0.5000 0.0000 0.0977  2 Sc 3.60, 8 Pr 3.60-3.65, 2 Tm 3.65
Pr 0.5000 0.0000 0.2989  8 Pr 3.65, 4 Tm 3.65
Pr 0.0000 0.5000 0.2989  8 Pr 3.65, 4 Tm 3.65
Pr 0.5000 0.0000 0.5000  8 Pr 3.65, 4 Tm 3.65
Tm 0.0000 0.0000 0.3995  12 Pr 3.65
Tm 0.0000 0.0000 0.6005  12 Pr 3.65
Pr 0.0000 0.5000 0.0977  2 Sc 3.60, 8 Pr 3.60-3.65, 2 Tm 3.65
Pr 0.0000 0.5000 0.7011  8 Pr 3.65, 4 Tm 3.65

Output
space-group type	No. 123
energy of formation from the pure elements	0.27	eV/f.u.
raw total energy	-4.782	eV/atom
crystal system	tetragonal
magnetic moment	0.00	Bohr magnetons per cell

Entry 2:
Density functional theory data (PBE) for a relaxed TiHgAu2 crystal.

Cell: 7.6282 7.6282 6.0959 Å, 51.27 51.27 90.00°
Last column: nearest neighbours and their distance in Å.
Fractional positions:
Au 0.8750 0.8510 0.7500  2 Ti 2.67, 2 Au 2.86, 2 Hg 2.92
Hg 0.7500 0.2500 0.5000  2 Ti 2.84, 4 Au 2.92
Ti 0.2500 0.7500 0.5000  4 Au 2.67, 2 Hg 2.84
Hg 0.0000 0.0000 0.0000  2 Ti 2.84, 4 Au 2.92
Au 0.1490 0.6250 0.2500  2 Ti 2.67, 2 Au 2.86, 2 Hg 2.92
Au 0.3750 0.3990 0.7500  2 Ti 2.67, 2 Au 2.86, 2 Hg 2.92
Ti 0.5000 0.5000 0.0000  4 Au 2.67, 2 Hg 2.84
Au 0.6010 0.1250 0.2500  2 Ti 2.67, 2 Au 2.86, 2 Hg 2.92

Output
space-group type	No. 122
energy of formation from the pure elements	0.45	eV/f.u.
raw total energy	-3.575	eV/atom
crystal system	tetragonal
magnetic moment	2.13	Bohr magnetons per cell

Entry 3:
Density functional theory data (PBE) for a relaxed Y2CoNiH crystal.

Cell: 4.8272 4.8272 3.3933 Å, 90.00 90.00 90.00°
Last column: nearest neighbours and their distance in Å.
Fractional positions:
Y 0.5000 0.0000 0.0000  2 H 2.41
H 0.0000 0.0000 0.0000  2 Co 1.70
Co 0.0000 0.0000 0.5000  2 H 1.70
Ni 0.5000 0.5000 0.5000  8 Y 2.95
Y 0.0000 0.5000 0.0000  2 H 2.41

Output
excess energy over the best structure of this formula in the dataset	0.0	kJ/mol of atoms
space-group type	No. 123
raw total energy	-6.167	eV/atom
crystal system	tetragonal
magnetic moment	0.00	Bohr magnetons per cell

Entry 4:
Density functional theory data (PBE) for a relaxed Rb3GeO4 crystal.

Cell: 8.2695 9.4494 8.8604 Å, 90.00 90.00 90.00°
Last column: nearest neighbours and their distance in Å.
Fractional positions:
O 0.7370 0.7962 0.2500  1 Ge 1.79
Rb 0.4734 0.7801 0.0173  6 O 2.89-3.20
O 0.6781 0.5502 0.5835  1 Ge 1.78
O 0.4820 0.9637 0.7500  1 Ge 1.79
O 0.3219 0.4498 0.0835  1 Ge 1.78
Rb 0.8249 0.0032 0.7500  4 O 2.82-2.99
Rb 0.5266 0.2199 0.9827  6 O 2.89-3.20
Rb 0.1751 0.9968 0.2500  4 O 2.82-2.99
O 0.1781 0.9498 0.9165  1 Ge 1.78
Rb 0.0266 0.2801 0.5173  6 O 2.89-3.20
O 0.7630 0.2962 0.7500  1 Ge 1.79
Rb 0.6751 0.5032 0.2500  4 O 2.82-2.99
Ge 0.7740 0.4852 0.7500  4 O 1.78-1.79
Rb 0.3249 0.4968 0.7500  4 O 2.82-2.99
Ge 0.2740 0.0148 0.7500  4 O 1.78-1.79
O 0.1781 0.9498 0.5835  1 Ge 1.78
Rb 0.5266 0.2199 0.5173  6 O 2.89-3.20
O 0.3219 0.4498 0.4165  1 Ge 1.78
Ge 0.2260 0.5148 0.2500  4 O 1.78-1.79
Rb 0.9734 0.7199 0.4827  6 O 2.89-3.20
O 0.2370 0.7038 0.2500  1 Ge 1.79
O 0.5180 0.0363 0.2500  1 Ge 1.79
O 0.8219 0.0502 0.0835  1 Ge 1.78
Rb 0.0266 0.2801 0.9827  6 O 2.89-3.20
O 0.6781 0.5502 0.9165  1 Ge 1.78
O 0.0180 0.4637 0.2500  1 Ge 1.79
Rb 0.4734 0.7801 0.4827  6 O 2.89-3.20
O 0.2630 0.2038 0.7500  1 Ge 1.79
Rb 0.9734 0.7199 0.0173  6 O 2.89-3.20
O 0.9820 0.5363 0.7500  1 Ge 1.79
Ge 0.7260 0.9852 0.2500  4 O 1.78-1.79
O 0.8219 0.0502 0.4165  1 Ge 1.78

Output
uncorrected formation energy	-11.9	eV per formula unit
excess energy over the best structure of this formula in the dataset	0.0	kJ/mol of atoms
space-group type	No. 62
raw total energy	-4.903	eV/atom
crystal system	orthorhombic
magnetic moment	4.07	Bohr magnetons per cell

Among the records above, which one has the highest raw total energy?
TiHgAu2

The lowest raw total energy belongs to which entry?
Y2CoNiH

What is the formula in the fourth record?
Rb3GeO4

raw total energy of number 3 (Y2CoNiH)?
-6.167 eV/atom